Compound: Al4Ag3
Source: Alexandria
Functional: PBE
Structure: optimized geometry

Unit cell a=3.076 b=3.918 c=10.162 alpha=100.97 beta=98.64 gamma=90.03
Sites, in units of the cell vectors:
1 Al 0.000 0.000 0.000
2 Al 0.140 0.139 0.280
3 Al 0.286 0.287 0.573
4 Al 0.571 0.571 0.142
5 Ag 0.434 0.434 0.867
6 Ag 0.709 0.708 0.417
7 Ag 0.854 0.855 0.709

Values from the calculation:
V	16.97	Å³ per atom
DOS at the Fermi energy	1.8	states/eV/cell
ΔH_f (0 K)	-0.017	eV/atom
E above lowest polymorph	0.0284	eV/atom
uncorrected energy	-0.2483	Ry/atom
symmetry	P1